VASP calculation (GGA-PBE) on crystalline KCu2Re at its relaxed geometry.

Computed properties:
The calculated formation energy comes out at 0.79 eV per atom. As for the total energy: -18.58 eV per cell. Its crystal system is trigonal. The value obtained for the polymorph energy (0 for the lowest one) is 137.3 meV/atom.

a b c (Å): 10.0986 10.0986 10.0986
angles (deg): 15.92 15.92 15.92
Fractional coordinates of all 4 atoms:
Re1 0.2500 0.2500 0.2500
Cu1 0.5124 0.5124 0.5124
K1 0.7500 0.7500 0.7500
Cu2 0.9876 0.9876 0.9876